MoSeF2 | PBE with a Hubbard U | optimized geometry

Lattice parameters (Å, degrees): 10.5457 10.5457 10.5457 15.33 15.33 15.33
Fractional positions:
Se: 0.0000 0.0000 0.0000
Mo: 0.5000 0.5000 0.5000
F: 0.1188 0.1188 0.1188
F: 0.8812 0.8812 0.8812

Calculated values
VASP energy: -17.7 eV per formula unit
Spin magnetization: 0.00 μB/f.u.
Space-group type: R-3m
DOS(E_F): 0.394 states/eV per atom
Energy above the lowest structure with this stoichiometry: 0.0423 eV per atom